1.
# CePm5Se8

A geometry-optimized CePm5Se8 structure (PBE, the Alexandria database).

Results
calculated total energy = -5.96 eV/atom
uncorrected formation energy = -1.8489 eV per atom
total magnetic moment = 3.92 μB/cell

abc: 8.8895 8.8895 8.9307
angles: 90.00 90.00 90.00
Space group I-4 (No. 82)
Symmetry-distinct sites (fractional):
Ce 0.0000 0.0000 0.0000 x2
Pm 0.0000 0.5000 0.7500 x2
Pm 0.1171 0.7505 0.3726 x8
Se 0.0743 0.6760 0.0498 x8
Se 0.0747 0.8227 0.6974 x8

=====

2.
# PtCSe2

A geometry-optimized PtCSe2 structure (PBE, the Alexandria database).

Results
calculated total energy = -4.78 eV/atom
uncorrected formation energy = 0.7735 eV per atom
total magnetic moment = 0.00 μB/cell

abc: 4.0690 4.0690 17.8847
angles: 90.00 90.00 120.00
Space group R-3m (No. 166, hexagonal axes)
Symmetry-distinct sites (fractional):
Pt 0.0000 0.0000 0.0000 x3
C 0.0000 0.0000 0.5000 x3
Se 0.0000 0.0000 0.4021 x6

=====

3.
# La6HoPb

A geometry-optimized La6HoPb structure (PBE, the Alexandria database).

Results
calculated total energy = -4.90 eV/atom
total magnetic moment = 0.00 μB/cell

abc: 5.1134 5.1134 10.4446
angles: 90.00 90.00 90.00
Space group P4/mmm (No. 123)
Symmetry-distinct sites (fractional):
La 0.0000 0.0000 0.0000 x1
La 0.0000 0.0000 0.5000 x1
La 0.0000 0.5000 0.2457 x4
Ho 0.5000 0.5000 0.5000 x1
Pb 0.5000 0.5000 0.0000 x1

=====

4.
# Ho2PaReC4

A geometry-optimized Ho2PaReC4 structure (PBE, the Alexandria database).

Results
calculated total energy = -8.58 eV/atom
total magnetic moment = 0.00 μB/cell

abc: 3.4419 11.8284 12.1523
angles: 90.00 90.00 90.00
Space group Cmcm (No. 63)
Symmetry-distinct sites (fractional):
Ho 0.0000 0.1304 0.0398 x8
Pa 0.0000 0.4046 0.2500 x4
Re 0.0000 0.3362 0.7500 x4
C 0.0000 0.0622 0.2500 x4
C 0.0000 0.2286 0.6334 x8
C 0.0000 0.5000 0.0000 x4

=====

5.
# GaHgN2

A geometry-optimized GaHgN2 structure (PBE, the Alexandria database).

Results
calculated total energy = -4.39 eV/atom
uncorrected formation energy = 0.6027 eV per atom
ΔE to the lowest computed polymorph = 0 meV per atom
total magnetic moment = 0.00 μB/cell

abc: 4.9929 4.9929 9.2267
angles: 90.00 90.00 90.00
Space group I-42d (No. 122)
Symmetry-distinct sites (fractional):
Ga 0.0000 0.0000 0.0000 x4
Hg 0.0000 0.0000 0.5000 x4
N 0.1934 0.2500 0.1250 x8

=====

6.
# OsPb2Se

A geometry-optimized OsPb2Se structure (PBE, the Alexandria database).

Results
calculated total energy = -4.90 eV/atom
uncorrected formation energy = 0.6315 eV per atom
total magnetic moment = 0.00 μB/cell

abc: 3.7070 3.7070 23.6817
angles: 90.00 90.00 120.00
Space group R-3m (No. 166, hexagonal axes)
Symmetry-distinct sites (fractional):
Os 0.0000 0.0000 0.0000 x3
Pb 0.0000 0.0000 0.2549 x6
Se 0.0000 0.0000 0.5000 x3

=====

7.
# Pr2Al3Zn9

A geometry-optimized Pr2Al3Zn9 structure (PBE, the Alexandria database).

Results
calculated total energy = -2.57 eV/atom
total magnetic moment = 0.00 μB/cell

abc: 13.5351 7.9162 9.4053
angles: 90.00 90.00 90.00
Space group Cmcm (No. 63)
Symmetry-distinct sites (fractional):
Pr 0.1632 0.1633 0.2500 x8
Al 0.0000 0.0000 0.0000 x4
Al 0.1843 0.5000 0.0000 x8
Zn 0.0000 0.1436 0.7500 x4
Zn 0.0000 0.3414 0.0591 x8
Zn 0.0954 0.4469 0.7500 x8
Zn 0.1559 0.1836 0.5883 x16

=====

8.
# Dy8Er6Sc

A geometry-optimized Dy8Er6Sc structure (PBE, the Alexandria database).

Results
calculated total energy = -4.58 eV/atom
ΔE to the lowest computed polymorph = 0 meV per atom
total magnetic moment = 0.00 μB/cell

abc: 8.9402 8.9402 20.3235
angles: 90.00 90.00 120.00
Space group R-3 (No. 148, hexagonal axes)
Symmetry-distinct sites (fractional):
Dy 0.0000 0.0000 0.0768 x6
Dy 0.0829 0.5287 0.3074 x18
Er 0.0674 0.8164 0.2066 x18
Sc 0.0000 0.0000 0.5000 x3